--- P ---
A geometry-optimized AsAuI3 structure, computed with PBE.

SG: Pm-3m (221)
Theoretical density in g/cm3: 5.96

Cell: 5.6657 5.6657 5.6657 Å, 90.00 90.00 90.00°
Fractional coordinates of all 5 atoms:
I 0.0000 0.0000 0.5000
I 0.5000 0.0000 0.0000
As 0.0000 0.0000 0.0000
Au 0.5000 0.5000 0.5000
I 0.0000 0.5000 0.0000

--- Q ---
A geometry-optimized AsAuI3 structure, computed with PBE.

SG: P-1 (2)
Theoretical density in g/cm3: 4.50

Cell: 4.7105 12.4499 10.9795 Å, 113.15 79.54 125.43°
Fractional coordinates of all 10 atoms:
Au 0.6472 0.0755 0.2340
As 0.8374 0.4832 0.7865
I 0.6085 0.3359 0.9369
I 0.4387 0.7175 0.9144
I 0.7546 0.7634 0.3086
I 0.3476 0.5100 0.4847
I 0.5171 0.1284 0.5071
I 0.2016 0.0824 0.1129
Au 0.3092 0.7705 0.1875
As 0.1182 0.3627 0.6351

Ranking the structures above by energy, Q is first and the second is 48.5 kJ/mol of atoms behind.